Entry 1:
Here is an optimized crystal structure of AcTbGaSi from Alexandria. Energies are from GGA-PBE.

Values from the calculation:
* E_form (uncorrected): -0.403 eV/atom
* space group: F-43m

a = 5.275 Å, b = 5.275 Å, c = 5.275 Å
α = 60.00°, β = 60.00°, γ = 60.00°
Atoms (fractional coordinates):
Si: 0.750 0.750 0.750
Tb: 0.000 0.000 0.000
Ac: 0.500 0.500 0.500
Ga: 0.250 0.250 0.250


Entry 2:
Here is an optimized crystal structure of Te2AsRh from Alexandria. Energies are from GGA-PBE.

Values from the calculation:
* E_form (uncorrected): 0.054 eV/atom
* space group: R-3m

a = 8.704 Å, b = 8.704 Å, c = 8.704 Å
α = 25.87°, β = 25.87°, γ = 25.87°
Atoms (fractional coordinates):
Te: 0.111 0.111 0.111
Te: 0.889 0.889 0.889
Rh: 0.500 0.500 0.500
As: 0.000 0.000 0.000


Entry 3:
Here is an optimized crystal structure of La6SmYEr2 from Alexandria. Energies are from GGA-PBE.

Values from the calculation:
* uncorrected energy: -4.88 eV/atom
* space group: C2/c

a = 9.841 Å, b = 9.033 Å, c = 9.033 Å
α = 117.67°, β = 85.64°, γ = 85.64°
Atoms (fractional coordinates):
Er: 0.954 0.699 0.792
Er: 0.454 0.792 0.699
Er: 0.546 0.208 0.301
Er: 0.046 0.301 0.208
Sm: 0.250 0.473 0.527
Sm: 0.750 0.527 0.473
La: 0.190 0.493 0.939
La: 0.810 0.507 0.061
La: 0.053 0.741 0.392
La: 0.553 0.392 0.741
La: 0.121 0.010 0.797
La: 0.947 0.259 0.608
La: 0.310 0.061 0.507
La: 0.379 0.203 0.990
La: 0.447 0.608 0.259
La: 0.879 0.990 0.203
La: 0.621 0.797 0.010
La: 0.690 0.939 0.493
Y: 0.250 0.910 0.090
Y: 0.750 0.090 0.910


Entry 4:
Here is an optimized crystal structure of TbPrYCd from Alexandria. Energies are from GGA-PBE.

Values from the calculation:
* uncorrected energy: -4.36 eV/atom
* space group: P4mm

a = 3.665 Å, b = 3.665 Å, c = 9.036 Å
α = 90.00°, β = 90.00°, γ = 90.00°
Atoms (fractional coordinates):
Tb: 0.500 0.500 0.791
Y: 0.500 0.500 0.353
Cd: 0.000 0.000 0.571
Pr: 0.000 0.000 0.070


Entry 5:
Here is an optimized crystal structure of KRb2Tl6 from Alexandria. Energies are from GGA-PBE.

Values from the calculation:
* uncorrected energy: -1.99 eV/atom
* space group: P-1

a = 6.623 Å, b = 6.876 Å, c = 9.237 Å
α = 112.23°, β = 97.00°, γ = 109.19°
Atoms (fractional coordinates):
Rb: 0.778 0.551 0.334
Rb: 0.222 0.449 0.666
Tl: 0.843 0.966 0.814
Tl: 0.206 0.486 0.110
Tl: 0.378 0.092 0.886
Tl: 0.157 0.034 0.186
Tl: 0.794 0.514 0.890
Tl: 0.622 0.908 0.114
K: 0.500 0.000 0.500


Entry 6:
Here is an optimized crystal structure of Co3CuBr9 from Alexandria. Energies are from GGA-PBE.

Values from the calculation:
* E_form (uncorrected): -0.274 eV/atom
* space group: Cc

a = 11.091 Å, b = 9.620 Å, c = 12.347 Å
α = 72.42°, β = 63.31°, γ = 54.80°
Site moments in Bohr magnetons follow the coordinates.
Atoms (fractional coordinates):
Co: 0.941 0.056 0.153  2.46
Co: 0.670 0.284 0.692  2.50
Co: 0.354 0.784 0.192  2.50
Co: 0.971 0.899 0.868  2.50
Co: 0.850 0.556 0.653  2.46
Co: 0.262 0.399 0.368  2.50
Br: 0.083 0.574 0.539  0.24
Br: 0.620 0.826 0.665  0.20
Br: 0.147 0.429 0.244  0.31
Br: 0.410 0.115 0.434  0.22
Br: 0.804 0.074 0.039  0.24
Br: 0.870 0.422 0.842  0.21
Br: 0.494 0.444 0.855  0.31
Br: 0.861 0.365 0.557  0.24
Br: 0.541 0.305 0.573  0.20
Br: 0.452 0.487 0.253  0.26
Br: 0.041 0.615 0.934  0.22
Br: 0.807 0.987 0.753  0.26
Br: 0.207 0.944 0.355  0.31
Br: 0.867 0.922 0.342  0.21
Br: 0.217 0.865 0.057  0.24
Br: 0.890 0.326 0.165  0.20
Br: 0.180 0.929 0.744  0.31
Br: 0.580 0.805 0.073  0.20
Cu: 0.835 0.551 0.002  0.33
Cu: 0.612 0.051 0.502  0.33


Entry 7:
Here is an optimized crystal structure of LaDySbTe from Alexandria. Energies are from GGA-PBE.

Values from the calculation:
* E_form (uncorrected): -1.364 eV/atom
* space group: R3m

a = 4.489 Å, b = 4.489 Å, c = 7.782 Å
α = 73.24°, β = 73.24°, γ = 60.00°
Atoms (fractional coordinates):
La: 0.947 0.947 0.158
Dy: 0.441 0.441 0.677
Sb: 0.699 0.699 0.903
Te: 0.189 0.189 0.433


Entry 8:
Here is an optimized crystal structure of MnSn2HgRh from Alexandria. Energies are from GGA-PBE.

Values from the calculation:
* uncorrected energy: -3.81 eV/atom
* space group: P4/mmm

a = 5.364 Å, b = 5.088 Å, c = 5.364 Å
α = 90.00°, β = 90.00°, γ = 90.00°
Site moments in Bohr magnetons follow the coordinates.
Atoms (fractional coordinates):
Sn: 0.500 0.000 0.000  -0.04
Sn: 0.000 0.000 0.500  -0.03
Rh: 0.000 0.500 0.000  0.17
Mn: 0.500 0.500 0.500  4.40
Hg: 0.000 0.000 0.000  0.00


Entry 9:
Here is an optimized crystal structure of PrNpPt4 from Alexandria. Energies are from GGA-PBE.

Values from the calculation:
* uncorrected energy: -7.77 eV/atom
* space group: F-43m

a = 5.493 Å, b = 5.493 Å, c = 5.493 Å
α = 60.00°, β = 60.00°, γ = 60.00°
Site moments in Bohr magnetons follow the coordinates.
Atoms (fractional coordinates):
Pt: 0.625 0.625 0.625  -0.05
Pt: 0.126 0.625 0.625  -0.05
Pt: 0.625 0.126 0.625  -0.05
Pt: 0.625 0.625 0.126  -0.05
Pr: 0.000 0.000 0.000  0.12
Np: 0.250 0.250 0.250  3.93


Entry 10:
Here is an optimized crystal structure of LiLuGeIr from Alexandria. Energies are from GGA-PBE.

Values from the calculation:
* uncorrected energy: -5.61 eV/atom
* space group: F-43m

a = 4.536 Å, b = 4.536 Å, c = 4.536 Å
α = 60.00°, β = 60.00°, γ = 60.00°
Atoms (fractional coordinates):
Ge: 0.500 0.500 0.500
Li: 0.250 0.250 0.250
Ir: 0.750 0.750 0.750
Lu: 0.000 0.000 0.000


Entry 11:
Here is an optimized crystal structure of Mn2CoAu from Alexandria. Energies are from GGA-PBE.

Values from the calculation:
* uncorrected energy: -6.91 eV/atom
* space group: F-43m

a = 4.328 Å, b = 4.328 Å, c = 4.328 Å
α = 60.00°, β = 60.00°, γ = 60.00°
Site moments in Bohr magnetons follow the coordinates.
Atoms (fractional coordinates):
Au: 0.500 0.500 0.500  0.10
Mn: 0.250 0.250 0.250  3.60
Mn: 0.000 0.000 0.000  3.40
Co: 0.750 0.750 0.750  1.59


Entry 12:
Here is an optimized crystal structure of LiPmAlPd from Alexandria. Energies are from GGA-PBE.

Values from the calculation:
* uncorrected energy: -4.42 eV/atom
* space group: F-43m

a = 4.767 Å, b = 4.767 Å, c = 4.767 Å
α = 60.00°, β = 60.00°, γ = 60.00°
Site moments in Bohr magnetons follow the coordinates.
Atoms (fractional coordinates):
Al: 0.250 0.250 0.250  0.02
Pd: 0.000 0.000 0.000  0.04
Li: 0.500 0.500 0.500  0.01
Pm: 0.750 0.750 0.750  0.06